# 1
Below is an optimized crystal structure of Si2Pt2Se, with properties calculated at the PBE level.

Its calculated density is 10.7 Mg/m³. The energy relative to the lowest polymorph listed for this composition is 0.141 eV per atom. The calculation puts the uncorrected formation energy at -0.13 eV per atom. The electronic total energy comes out at -27.05 eV per formula unit.

The structure belongs to space group P4/mbm (No. 127); the cell edges are 7.405, 7.405 and 2.970 Å and the angles 90.00°, 90.00° and 90.00°. The inequivalent atoms are Si at (0.148, 0.352, 0.000), Pt at (0.137, 0.637, 0.500) and Se at (0.000, 0.000, 0.500).

=====

# 2
Below is an optimized crystal structure of ZnAs3Ru, with properties calculated at the PBE level.

Its calculated density is 5.8 Mg/m³. The energy relative to the lowest polymorph listed for this composition is 0.000 eV per atom. The electronic total energy comes out at -21.84 eV per formula unit. For the formation energy, the calculation gives 0.532 eV/atom.

The structure belongs to space group Pm-3m (No. 221); the cell edges are 4.808, 4.808 and 4.808 Å and the angles 90.00°, 90.00° and 90.00°. The inequivalent atoms are Zn at (0.000, 0.000, 0.000), As at (0.000, 0.500, 0.500) and Ru at (0.500, 0.500, 0.500).

=====

# 3
Below is an optimized crystal structure of SrPdN2, with properties calculated at the PBE level.

Its calculated density is 6.8 Mg/m³. The energy relative to the lowest polymorph listed for this composition is 0.454 eV per atom. The calculation puts the uncorrected formation energy at 0.84 eV per atom. The electronic total energy comes out at -20.17 eV per formula unit.

The structure belongs to space group Fm-3m (No. 225); the cell edges are 5.994, 5.994 and 5.994 Å and the angles 90.00°, 90.00° and 90.00°. The inequivalent atoms are Sr at (0.000, 0.000, 0.000), Pd at (0.000, 0.000, 0.500) and N at (0.250, 0.250, 0.250).

=====

# 4
Below is an optimized crystal structure of KCdGa4, with properties calculated at the PBE level.

Its calculated density is 5.2 Mg/m³. The electronic total energy comes out at -14.05 eV per formula unit. For the formation energy, the calculation gives 0.012 eV/atom.

The structure belongs to space group F-43m (No. 216); the cell edges are 8.177, 8.177 and 8.177 Å and the angles 90.00°, 90.00° and 90.00°. The inequivalent atoms are K at (0.000, 0.000, 0.000), Cd at (0.250, 0.250, 0.750) and Ga at (0.125, 0.125, 0.375).